[1]
# CrCu2As | the Alexandria database | GGA-PBE | optimized geometry
data_CrCu2As
_symmetry_space_group_name_H-M 'C m m m'
_symmetry_Int_Tables_number 65
_symmetry_space_group_name_Hall '-C 2 2'
_cell_length_a 4.9307
_cell_length_b 7.5674
_cell_length_c 2.9860
_cell_angle_alpha 90.00
_cell_angle_beta 90.00
_cell_angle_gamma 90.00
loop_
_atom_site_label
_atom_site_fract_x
_atom_site_fract_y
_atom_site_fract_z
Cr1 0.0000 0.0000 0.0000
Cu1 0.2500 0.2500 0.5000
As1 0.0000 0.5000 0.0000
# - formation enthalpy at 0 K (eV per atom) = 0.2581

=====

[2]
# NiHg2Br | the Alexandria database | GGA-PBE | optimized geometry
data_NiHg2Br
_symmetry_space_group_name_H-M 'I m m 2'
_symmetry_Int_Tables_number 44
_cell_length_a 3.3926
_cell_length_b 6.4790
_cell_length_c 9.4501
_cell_angle_alpha 90.00
_cell_angle_beta 90.00
_cell_angle_gamma 90.00
loop_
_symmetry_equiv_pos_as_xyz
'x,y,z'
'-x,-y,z'
'-x,y,z'
'x,-y,z'
'x+1/2,y+1/2,z+1/2'
'-x+1/2,-y+1/2,z+1/2'
'-x+1/2,y+1/2,z+1/2'
'x+1/2,-y+1/2,z+1/2'
loop_
_atom_site_label
_atom_site_fract_x
_atom_site_fract_y
_atom_site_fract_z
Ni1 0.0000 0.0000 0.0000
Hg1 0.0000 0.0000 0.4953
Hg2 0.0000 0.5000 0.7160
Br1 0.0000 0.5000 0.3278
# - E_form (uncorrected) (eV/f.u.) = 0.474
# - energy above the most stable polymorph in this dataset (meV per atom) = 71.8

=====

[3]
# Rb2Pr2BiS6 | the Alexandria database | GGA-PBE | optimized geometry
data_Rb2Pr2BiS6
_symmetry_space_group_name_H-M 'C 1 2/m 1'
_symmetry_Int_Tables_number 12
_cell_length_a 7.2273
_cell_length_b 12.4556
_cell_length_c 8.2913
_cell_angle_alpha 90.00
_cell_angle_beta 106.71
_cell_angle_gamma 90.00
loop_
_symmetry_equiv_pos_as_xyz
'x,y,z'
'-x,-y,-z'
'-x,y,-z'
'x,-y,z'
'x+1/2,y+1/2,z'
'-x+1/2,-y+1/2,-z'
'-x+1/2,y+1/2,-z'
'x+1/2,-y+1/2,z'
loop_
_atom_site_label
_atom_site_fract_x
_atom_site_fract_y
_atom_site_fract_z
Rb1 0.0000 0.1677 0.0000
Pr1 0.0000 0.3333 0.5000
Bi1 0.0000 0.0000 0.5000
S1 0.2252 0.1629 0.6926
S2 0.2447 0.5000 0.6922
# - E_form (uncorrected) (eV/f.u.) = -14.546

=====

[4]
# P2Br4Cl3 | the Alexandria database | GGA-PBE | optimized geometry
data_P2Br4Cl3
_symmetry_space_group_name_H-M 'P -1'
_symmetry_Int_Tables_number 2
_cell_length_a 6.6569
_cell_length_b 7.1124
_cell_length_c 19.7464
_cell_angle_alpha 80.11
_cell_angle_beta 87.86
_cell_angle_gamma 76.19
loop_
_symmetry_equiv_pos_as_xyz
'x,y,z'
'-x,-y,-z'
loop_
_atom_site_label
_atom_site_fract_x
_atom_site_fract_y
_atom_site_fract_z
P1 0.1607 0.0263 0.0727
P2 0.2972 0.9003 0.6301
Br1 0.1273 0.8184 0.8781
Br2 0.2827 0.2805 0.0176
Br3 0.3320 0.7498 0.5320
Br4 0.3615 0.1867 0.6622
Cl1 0.0039 0.0828 0.3426
Cl2 0.3575 0.9270 0.1562
Cl3 0.4568 0.6817 0.7033
# - E_form (uncorrected) (eV/f.u.) = -3.793

=====

[5]
# MgZrBe2 | the Alexandria database | GGA-PBE | optimized geometry
data_MgZrBe2
_symmetry_space_group_name_H-M 'P 4 m m'
_symmetry_Int_Tables_number 99
_cell_length_a 2.8916
_cell_length_b 2.8916
_cell_length_c 7.2432
_cell_angle_alpha 90.00
_cell_angle_beta 90.00
_cell_angle_gamma 90.00
loop_
_symmetry_equiv_pos_as_xyz
'x,y,z'
'-y,x,z'
'-x,-y,z'
'y,-x,z'
'-x,y,z'
'y,x,z'
'x,-y,z'
'-y,-x,z'
loop_
_atom_site_label
_atom_site_fract_x
_atom_site_fract_y
_atom_site_fract_z
Mg1 0.0000 0.0000 0.0000
Zr1 0.5000 0.5000 0.3528
Be1 0.0000 0.0000 0.6087
Be2 0.5000 0.5000 0.7412
# - formation enthalpy at 0 K (eV per atom) = 0.1046

=====

[6]
# Zr2TcSnRh | the Alexandria database | GGA-PBE | optimized geometry
data_Zr2TcSnRh
_symmetry_space_group_name_H-M 'P 4/m m m'
_symmetry_Int_Tables_number 123
_symmetry_space_group_name_Hall '-P 4 2'
_cell_length_a 5.0075
_cell_length_b 5.0075
_cell_length_c 4.6983
_cell_angle_alpha 90.00
_cell_angle_beta 90.00
_cell_angle_gamma 90.00
loop_
_atom_site_label
_atom_site_fract_x
_atom_site_fract_y
_atom_site_fract_z
Zr1 0.0000 0.5000 0.0000
Tc1 0.0000 0.0000 0.0000
Sn1 0.5000 0.5000 0.5000
Rh1 0.0000 0.0000 0.5000
# - formation enthalpy at 0 K (eV per atom) = 0.4070

=====

[7]
# K2AcPmTe4 | the Alexandria database | GGA-PBE | optimized geometry
data_K2AcPmTe4
_symmetry_space_group_name_H-M 'P 1 2/m 1'
_symmetry_Int_Tables_number 10
_cell_length_a 8.1830
_cell_length_b 4.7184
_cell_length_c 8.7056
_cell_angle_alpha 90.00
_cell_angle_beta 108.17
_cell_angle_gamma 90.00
loop_
_symmetry_equiv_pos_as_xyz
'x,y,z'
'-x,-y,-z'
'-x,y,-z'
'x,-y,z'
loop_
_atom_site_label
_atom_site_fract_x
_atom_site_fract_y
_atom_site_fract_z
K1 0.0000 0.0000 0.0000
K2 0.5000 0.5000 0.0000
Ac1 0.0000 0.5000 0.5000
Pm1 0.5000 0.0000 0.5000
Te1 0.2519 0.0000 0.7208
Te2 0.2728 0.5000 0.2853
# - E_form (uncorrected) (eV/f.u.) = -11.597

=====

[8]
# Mn3FeN3 | the Alexandria database | GGA-PBE | optimized geometry
data_Mn3FeN3
_symmetry_space_group_name_H-M 'P 63/m m c'
_symmetry_Int_Tables_number 194
_symmetry_space_group_name_Hall '-P 6c 2c'
_cell_length_a 6.6046
_cell_length_b 6.6046
_cell_length_c 3.9380
_cell_angle_alpha 90.00
_cell_angle_beta 90.00
_cell_angle_gamma 120.00
loop_
_atom_site_label
_atom_site_fract_x
_atom_site_fract_y
_atom_site_fract_z
Mn1 0.1734 0.3467 0.2500
Fe1 0.3333 0.6667 0.7500
N1 0.1730 0.3460 0.7500
# - E_form (uncorrected) (eV/f.u.) = -1.226